# 1
Density functional theory data (PBE-GGA) for a relaxed Er3Zn2Tc crystal.

- ΔE_f (eV per atom) = -0.2686
- mass density (g/cm3) = 9.49

Cell lengths 7.762, 7.762, 7.030 Å; angles 90.00, 90.00, 142.86 degrees
Fractional coordinates of all 12 atoms:
Er 0.829 0.171 0.765
Er 0.500 0.500 0.238
Er 0.171 0.829 0.235
Er 0.829 0.171 0.235
Er 0.171 0.829 0.765
Er 0.500 0.500 0.762
Zn 0.000 0.000 0.000
Zn 0.000 0.000 0.500
Zn 0.335 0.665 0.500
Zn 0.665 0.335 0.500
Tc 0.337 0.663 0.000
Tc 0.663 0.337 0.000

# 2
Density functional theory data (PBE-GGA) for a relaxed PrHoTm2Tl2 crystal.

- ΔE_f (eV per atom) = -0.2572
- mass density (g/cm3) = 10.03

Cell lengths 5.118, 6.795, 10.024 Å; angles 90.00, 90.00, 90.00 degrees
Fractional coordinates of all 12 atoms:
Pr 0.000 0.957 0.459
Pr 0.000 0.457 0.541
Ho 0.500 0.181 0.694
Ho 0.500 0.681 0.306
Tm 0.500 0.051 0.043
Tm 0.000 0.338 0.181
Tm 0.500 0.551 0.957
Tm 0.000 0.838 0.819
Tl 0.000 0.298 0.870
Tl 0.500 0.221 0.357
Tl 0.000 0.798 0.130
Tl 0.500 0.721 0.643